[1]
PBE FeBS2N, optimized geometry; D(E_F) = 4.28 states/eV/cell; energy above the lowest structure with this stoichiometry = 715 meV/atom; energy relative to the elements, uncorrected = 5.97 eV/f.u.; crystal system = tetragonal; space group = P4/mmm, No. 123
1.0
4.5896 0.0000 0.0000
0.0000 4.5896 0.0000
0.0000 0.0000 3.3559
S Fe B N
2 1 1 1
direct
0.0000 0.5000 0.0000 S
0.5000 0.0000 0.0000 S
0.0000 0.0000 0.0000 Fe
0.5000 0.5000 0.5000 B
0.0000 0.0000 0.5000 N

[2]
PBE Pr7Dy3Ho2, optimized geometry; D(E_F) = 17.43 states/eV/cell; energy above the lowest structure with this stoichiometry = 0 meV/atom; formation energy from the elements = 0.072 eV/atom; crystal system = monoclinic; space group = P2/m, No. 10
1.0
-1.0712 -0.1277 -3.4170
-6.2072 0.5038 1.9270
-3.3902 17.9122 0.3935
Pr Ho Dy
7 2 3
direct
0.0000 0.5548 0.1679 Pr
0.0000 0.4452 0.8321 Pr
0.5000 0.2356 0.5069 Pr
0.0000 0.0000 0.0000 Pr
0.5000 0.9484 0.8274 Pr
0.5000 0.7644 0.4931 Pr
0.5000 0.0516 0.1726 Pr
0.5000 0.3901 0.6698 Ho
0.5000 0.6099 0.3302 Ho
0.5000 0.5000 0.0000 Dy
0.0000 0.1163 0.3400 Dy
0.0000 0.8837 0.6600 Dy

[3]
PBE TmPuRuAu, optimized geometry; D(E_F) = 10.83 states/eV/cell; formation energy from the elements = -0.366 eV/atom; crystal system = cubic; space group = F-43m, No. 216
1.0
-2.0121 4.0944 1.8581
-4.4226 -0.1908 2.1608
-0.3837 0.5605 4.8789
Au Ru Tm Pu
1 1 1 1
direct
0.5000 0.5000 0.5000 Au
0.0000 0.0000 0.0000 Ru
0.7500 0.7500 0.7500 Tm
0.2500 0.2500 0.2500 Pu

[4]
PBE Tl2IrCl, optimized geometry; D(E_F) = 2.19 states/eV/cell; energy above the lowest structure with this stoichiometry = 491 meV/atom; energy relative to the elements, uncorrected = 2.30 eV/f.u.; crystal system = cubic; space group = F-43m, No. 216
1.0
-4.6417 1.5758 -1.1042
-3.9312 -3.0358 0.7601
-3.2618 0.9898 3.6917
Tl Ir Cl
2 1 1
direct
0.7500 0.7500 0.7500 Tl
0.0000 0.0000 0.0000 Tl
0.2500 0.2500 0.2500 Ir
0.5000 0.5000 0.5000 Cl

[5]
PBE PmNd2TmTl2, optimized geometry; D(E_F) = 13.13 states/eV/cell; formation energy from the elements = -0.268 eV/atom; crystal system = orthorhombic; space group = Pmc2_1, No. 26
1.0
-2.7813 -2.7807 -3.3519
0.1567 -5.4331 4.3774
-8.5917 3.2942 4.3962
Tl Nd Pm Tm
4 4 2 2
direct
0.5000 0.7232 0.6241 Tl
0.0000 0.2972 0.8562 Tl
0.5000 0.2232 0.3759 Tl
0.0000 0.7972 0.1438 Tl
0.5000 0.0573 0.0479 Nd
0.0000 0.8349 0.8166 Nd
0.0000 0.3349 0.1834 Nd
0.5000 0.5573 0.9521 Nd
0.0000 0.4594 0.5457 Pm
0.0000 0.9594 0.4543 Pm
0.5000 0.6735 0.3122 Tm
0.5000 0.1735 0.6878 Tm

[6]
PBE CeReSi2, optimized geometry; D(E_F) = 5.90 states/eV/cell; energy relative to the elements, uncorrected = -1.25 eV/f.u.; crystal system = tetragonal; space group = P4/mmm, No. 123
1.0
3.1201 0.0000 0.0000
0.0000 3.1201 0.0000
0.0000 0.0000 7.0249
Si Re Ce
2 1 1
direct
0.0000 0.0000 0.1906 Si
0.0000 0.0000 0.8094 Si
0.5000 0.5000 0.0000 Re
0.5000 0.5000 0.5000 Ce

[7]
PBE LiLaInPb, optimized geometry; D(E_F) = 2.66 states/eV/cell; energy above the lowest structure with this stoichiometry = 40 meV/atom; formation energy from the elements = -0.386 eV/atom; crystal system = cubic; space group = F-43m, No. 216
1.0
5.3818 0.0000 0.0000
2.6909 4.6608 0.0000
2.6909 1.5536 4.3942
In Li Pb La
1 1 1 1
direct
0.2500 0.2500 0.2500 In
0.0000 0.0000 0.0000 Li
0.7500 0.7500 0.7500 Pb
0.5000 0.5000 0.5000 La

[8]
PBE YMg2GaCu2, optimized geometry; D(E_F) = 3.46 states/eV/cell; formation energy from the elements = 0.020 eV/atom; crystal system = tetragonal; space group = I4/mmm, No. 139
1.0
4.9494 0.0000 0.0000
0.0000 4.9494 0.0000
-2.4747 -2.4747 5.2315
Mg Cu Ga Y
2 2 1 1
direct
0.7500 0.2500 0.5000 Mg
0.2500 0.7500 0.5000 Mg
0.7781 0.7781 0.5563 Cu
0.2219 0.2219 0.4437 Cu
0.0000 0.0000 0.0000 Ga
0.5000 0.5000 0.0000 Y

[9]
PBE PaFe4P2, optimized geometry; D(E_F) = 6.55 states/eV/cell; energy above the lowest structure with this stoichiometry = 287 meV/atom; formation energy from the elements = -0.370 eV/atom; crystal system = monoclinic; space group = C2/m, No. 12
1.0
3.5007 0.3460 -1.2830
0.1595 3.5142 -1.2830
-1.1668 -1.2305 8.6987
Fe P Pa
4 2 1
direct
0.2659 0.7341 0.5000 Fe
0.7341 0.2659 0.5000 Fe
0.9806 0.9806 0.2505 Fe
0.0194 0.0194 0.7495 Fe
0.6043 0.6043 0.2785 P
0.3957 0.3957 0.7215 P
0.0000 0.0000 0.0000 Pa

[10]
PBE Tb5Bi4Se, optimized geometry; D(E_F) = 2.23 states/eV/cell; energy above the lowest structure with this stoichiometry = 12 meV/atom; energy relative to the elements, uncorrected = -10.36 eV/f.u.; crystal system = tetragonal; space group = I4/mmm, No. 139
1.0
4.3862 0.0000 -0.6182
-0.0871 4.3854 -0.6182
0.0049 0.0050 15.9055
Se Bi Tb
1 4 5
direct
0.0000 0.0000 0.0000 Se
0.8027 0.8027 0.6054 Bi
0.5992 0.5992 0.1984 Bi
0.4008 0.4008 0.8016 Bi
0.1973 0.1973 0.3946 Bi
0.0939 0.0939 0.1878 Tb
0.5000 0.5000 0.0000 Tb
0.9061 0.9061 0.8122 Tb
0.7010 0.7010 0.4020 Tb
0.2990 0.2990 0.5980 Tb

[11]
PBE NaLaTc, optimized geometry; D(E_F) = 18.75 states/eV/cell; energy above the lowest structure with this stoichiometry = 3 meV/atom; formation energy from the elements = 0.027 eV/atom; crystal system = trigonal; space group = R3m, No. 160
1.0
-2.2867 -2.3844 2.4853
3.5063 1.6826 1.4020
-20.8472 33.0260 12.5030
Tc La Na
6 6 6
direct
0.6667 0.3333 0.5476 Tc
0.3333 0.6667 0.8810 Tc
0.6667 0.3333 0.2297 Tc
0.0000 0.0000 0.2143 Tc
0.0000 0.0000 0.8964 Tc
0.3333 0.6667 0.5630 Tc
0.6667 0.3333 0.9403 La
0.6667 0.3333 0.8373 La
0.3333 0.6667 0.2736 La
0.3333 0.6667 0.1707 La
0.0000 0.0000 0.6070 La
0.0000 0.0000 0.5040 La
0.0000 0.0000 0.3536 Na
0.3333 0.6667 0.7577 Na
0.0000 0.0000 0.0911 Na
0.6667 0.3333 0.6869 Na
0.3333 0.6667 0.0203 Na
0.6667 0.3333 0.4244 Na

[12]
PBE AlRe2Hg, optimized geometry; D(E_F) = 2.96 states/eV/cell; energy above the lowest structure with this stoichiometry = 326 meV/atom; formation energy from the elements = 0.479 eV/atom; crystal system = monoclinic; space group = P2/m, No. 10
1.0
2.8892 0.0000 0.0000
0.0000 4.8468 -0.0054
0.0000 3.3300 4.5940
Re Al Hg
2 1 1
direct
0.5000 0.5000 0.0000 Re
0.0000 0.0000 0.0000 Re
0.5000 0.5000 0.5000 Al
0.0000 0.0000 0.5000 Hg

[13]
PBE K3Tl3VBr8, optimized geometry; energy relative to the elements, uncorrected = -17.86 eV/f.u.; crystal system = trigonal; space group = R-3m, No. 166
1.0
-4.5279 3.1268 7.5042
-4.3232 -0.3522 -8.2315
2.0210 -7.9655 4.5385
Br K Tl V
8 3 3 1
direct
0.7958 0.0020 0.2978 Br
0.2042 0.9980 0.7022 Br
0.2063 0.0020 0.2978 Br
0.2524 0.5048 0.2571 Br
0.7957 0.5913 0.2976 Br
0.7476 0.4952 0.7429 Br
0.7937 0.9980 0.7022 Br
0.2043 0.4087 0.7024 Br
0.5000 0.5000 0.5000 K
0.5000 0.0000 0.5000 K
0.0000 0.5000 0.5000 K
0.0000 0.0000 0.0000 Tl
0.5000 0.5000 0.0000 Tl
0.0000 0.5000 0.0000 Tl
0.0000 0.0000 0.5000 V

[14]
PBE AcTbPm2, optimized geometry; D(E_F) = 9.58 states/eV/cell; energy above the lowest structure with this stoichiometry = 85 meV/atom; formation energy from the elements = 0.121 eV/atom; crystal system = tetragonal; space group = P4/mmm, No. 123
1.0
4.2692 0.0000 0.0000
0.0000 4.2692 0.0000
0.0000 0.0000 7.9824
Ac Pm Tb
1 2 1
direct
0.5000 0.5000 0.5000 Ac
0.0000 0.0000 0.2216 Pm
0.0000 0.0000 0.7784 Pm
0.5000 0.5000 0.0000 Tb

[15]
PBE MnNb2AgH, optimized geometry; D(E_F) = 4.68 states/eV/cell; crystal system = tetragonal; space group = P4/mmm, No. 123
1.0
4.0760 0.0000 0.0000
0.0000 4.0760 0.0000
0.0000 0.0000 4.1792
Mn Nb H Ag
1 2 1 1
direct
0.0000 0.0000 0.5000 Mn
0.5000 0.0000 0.0000 Nb
0.0000 0.5000 0.0000 Nb
0.0000 0.0000 0.0000 H
0.5000 0.5000 0.5000 Ag

[16]
PBE PtBr3, optimized geometry; D(E_F) = 6.01 states/eV/cell; energy relative to the elements, uncorrected = 1.69 eV/f.u.; crystal system = hexagonal; space group = P-6m2, No. 187
1.0
3.7107 0.0000 0.0000
-1.8553 3.2135 0.0000
0.0000 0.0000 8.3431
Br Pt
3 1
direct
0.0000 0.0000 0.5545 Br
0.6667 0.3333 0.2500 Br
0.0000 0.0000 0.9455 Br
0.6667 0.3333 0.7500 Pt

[17]
PBE Ho4Cd2Pb, optimized geometry; D(E_F) = 8.79 states/eV/cell; formation energy from the elements = -0.164 eV/atom; crystal system = trigonal; space group = R-3m, No. 166
1.0
4.9722 0.0000 1.5534
2.2435 4.4374 1.5534
-0.1118 -0.0688 9.0922
Cd Pb Ho
2 1 4
direct
0.7511 0.7511 0.7466 Cd
0.2489 0.2489 0.2534 Cd
0.0000 0.0000 0.0000 Pb
0.6169 0.6169 0.1492 Ho
0.3831 0.3831 0.8508 Ho
0.8701 0.8701 0.3897 Ho
0.1299 0.1299 0.6103 Ho

[18]
PBE Zr4AuN2, optimized geometry; D(E_F) = 8.05 states/eV/cell; energy relative to the elements, uncorrected = -8.28 eV/f.u.; crystal system = orthorhombic; space group = Cmcm, No. 63
1.0
-1.0696 3.1860 -0.3638
-0.4060 -2.5378 -5.3266
-11.1521 -3.4588 2.4980
Zr Au N
8 2 4
direct
0.0818 0.1635 0.2500 Zr
0.5000 0.0000 0.0000 Zr
0.2405 0.4810 0.8970 Zr
0.2405 0.4810 0.6030 Zr
0.5000 0.0000 0.5000 Zr
0.7595 0.5190 0.3970 Zr
0.9182 0.8365 0.7500 Zr
0.7595 0.5190 0.1030 Zr
0.6143 0.2286 0.7500 Au
0.3857 0.7714 0.2500 Au
0.8673 0.7345 0.5613 N
0.1327 0.2655 0.4387 N
0.1327 0.2655 0.0613 N
0.8673 0.7345 0.9387 N

[19]
PBE SnAs2OsBr, optimized geometry; D(E_F) = 3.90 states/eV/cell; energy above the lowest structure with this stoichiometry = 0 meV/atom; energy relative to the elements, uncorrected = 2.41 eV/f.u.; crystal system = tetragonal; space group = P4/mmm, No. 123
1.0
4.7526 0.0000 0.0000
0.0000 4.7526 0.0000
0.0000 0.0000 5.4949
Os As Sn Br
1 2 1 1
direct
0.0000 0.0000 0.0000 Os
0.0000 0.5000 0.0000 As
0.5000 0.0000 0.0000 As
0.5000 0.5000 0.5000 Sn
0.0000 0.0000 0.5000 Br

[20]
PBE Bi2AsCl, optimized geometry; D(E_F) = 4.16 states/eV/cell; energy above the lowest structure with this stoichiometry = 136 meV/atom; energy relative to the elements, uncorrected = -0.12 eV/f.u.; crystal system = cubic; space group = Fm-3m, No. 225
1.0
0.0000 3.6951 3.6951
3.6951 0.0000 3.6951
3.6951 3.6951 0.0000
Bi Cl As
2 1 1
direct
0.2500 0.2500 0.2500 Bi
0.7500 0.7500 0.7500 Bi
0.0000 0.0000 0.0000 Cl
0.5000 0.5000 0.5000 As

[21]
PBE Rb2NbInI6, optimized geometry; D(E_F) = 11.81 states/eV/cell; energy relative to the elements, uncorrected = -7.93 eV/f.u.; crystal system = cubic; space group = Fm-3m, No. 225
1.0
8.7007 0.0000 0.0000
0.0000 8.7007 0.0000
4.3503 4.3503 6.1523
I Rb In Nb
6 2 1 1
direct
0.7327 0.7327 0.0000 I
0.2673 0.2673 0.4655 I
0.2673 0.7327 0.0000 I
0.7327 0.7327 0.5345 I
0.2673 0.2673 0.0000 I
0.7327 0.2673 0.0000 I
0.2500 0.7500 0.5000 Rb
0.7500 0.2500 0.5000 Rb
0.0000 0.0000 0.0000 In
0.5000 0.5000 0.0000 Nb

[22]
PBE Sb2OsPb, optimized geometry; D(E_F) = 4.08 states/eV/cell; energy relative to the elements, uncorrected = 3.60 eV/f.u.; crystal system = orthorhombic; space group = Pmmm, No. 47
1.0
-0.0939 -3.4882 -0.8213
4.5290 -0.7228 2.5523
-2.4728 -0.9061 4.1313
Os Sb Pb
1 2 1
direct
0.5000 0.0000 0.5000 Os
0.5000 0.5000 0.0000 Sb
0.0000 0.0000 0.0000 Sb
0.0000 0.5000 0.5000 Pb

[23]
PBE ScAg4Rh, optimized geometry; D(E_F) = 3.43 states/eV/cell; formation energy from the elements = 0.037 eV/atom; crystal system = cubic; space group = F-43m, No. 216
1.0
0.0000 3.7999 3.7999
3.7999 0.0000 3.7999
3.7999 3.7999 0.0000
Ag Sc Rh
4 1 1
direct
0.3752 0.3752 0.8743 Ag
0.8743 0.3752 0.3752 Ag
0.3752 0.8743 0.3752 Ag
0.3752 0.3752 0.3752 Ag
0.0000 0.0000 0.0000 Sc
0.7500 0.7500 0.7500 Rh

[24]
PBE Ta2In2NiSe6, optimized geometry; D(E_F) = 5.63 states/eV/cell; energy relative to the elements, uncorrected = -4.89 eV/f.u.; crystal system = monoclinic; space group = C2/m, No. 12
1.0
-6.0551 0.3883 -1.7949
3.2296 -5.3792 -0.8187
-1.1807 -0.5438 8.0171
Ta In Ni Se
2 2 1 6
direct
0.3095 0.6905 0.5000 Ta
0.6905 0.3095 0.5000 Ta
0.1544 0.8456 0.0000 In
0.8456 0.1544 0.0000 In
0.0000 0.0000 0.5000 Ni
0.9085 0.5857 0.2915 Se
0.5857 0.9085 0.2915 Se
0.7341 0.7341 0.6683 Se
0.2659 0.2659 0.3317 Se
0.0915 0.4143 0.7085 Se
0.4143 0.0915 0.7085 Se

[25]
PBE Sc2BeSn, optimized geometry; D(E_F) = 1.08 states/eV/cell; energy above the lowest structure with this stoichiometry = 0 meV/atom; formation energy from the elements = -0.241 eV/atom; crystal system = cubic; space group = Fm-3m, No. 225
1.0
0.0000 3.3859 3.3859
3.3859 0.0000 3.3859
3.3859 3.3859 0.0000
Sc Be Sn
2 1 1
direct
0.2500 0.2500 0.2500 Sc
0.7500 0.7500 0.7500 Sc
0.0000 0.0000 0.0000 Be
0.5000 0.5000 0.5000 Sn

[26]
PBE CdMoCl, optimized geometry; D(E_F) = 1.22 states/eV/cell; energy above the lowest structure with this stoichiometry = 1114 meV/atom; energy relative to the elements, uncorrected = 3.41 eV/f.u.; crystal system = cubic; space group = F-43m, No. 216
1.0
-4.1594 -2.3471 0.4257
-0.2063 -4.0756 2.5176
-2.2760 -0.0991 4.2191
Mo Cl Cd
1 1 1
direct
0.0000 0.0000 0.0000 Mo
0.7500 0.7500 0.7500 Cl
0.5000 0.5000 0.5000 Cd

| no. | mass density (g cm⁻³) | E_tot (eV/atom) |
| --- | --- | --- |
| 1 | 3.40 | -5.150 |
| 2 | 7.28 | -4.630 |
| 3 | 13.97 | -8.205 |
| 4 | 11.78 | -3.286 |
| 5 | 9.13 | -4.183 |
| 6 | 9.29 | -7.618 |
| 7 | 7.05 | -3.708 |
| 8 | 4.33 | -3.458 |
| 9 | 8.88 | -8.108 |
| 10 | 9.28 | -5.252 |
| 11 | 4.27 | -5.511 |
| 12 | 15.47 | -6.756 |
| 13 | 4.09 | -3.383 |
| 14 | 7.71 | -4.439 |
| 15 | 8.36 | -6.969 |
| 16 | 7.26 | -2.342 |
| 17 | 8.99 | -3.571 |
| 18 | 8.56 | -8.914 |
| 19 | 7.21 | -4.758 |
| 20 | 8.69 | -3.594 |
| 21 | 4.06 | -3.197 |
| 22 | 11.55 | -4.897 |
| 23 | 8.77 | -4.144 |
| 24 | 6.95 | -5.524 |
| 25 | 4.66 | -5.339 |
| 26 | 5.19 | -3.395 |